First-principles (GGA+U) data for a relaxed structure of Li2CrFeO4, as listed in Alexandria via LeMat-Bulk.

POSCAR file:
```
Li2CrFeO4
1.0
4.6332 -3.5896 -0.5140
4.8515 0.9232 3.1979
-0.2030 -3.2130 3.9182
Li O Cr Fe
4 8 2 2
Direct
0.8734 0.6235 0.2574 Li
0.6235 0.8734 0.7574 Li
0.1266 0.3765 0.7426 Li
0.3765 0.1266 0.2426 Li
0.7595 0.0157 0.9890 O
0.4905 0.7319 0.5062 O
0.0157 0.7595 0.4890 O
0.7319 0.4905 0.0062 O
0.2405 0.9843 0.0110 O
0.5095 0.2681 0.4938 O
0.9843 0.2405 0.5110 O
0.2681 0.5095 0.9938 O
0.8724 0.1276 0.2500 Cr
0.1276 0.8724 0.7500 Cr
0.6240 0.3760 0.7500 Fe
0.3760 0.6240 0.2500 Fe
```

Values from the calculation:
Space-group type: No. 15
Uncorrected energy in eV per atom: -6.327
Offset from the most stable computed form in meV/atom: 179
Crystal system: monoclinic